Record 1
DFT (PBE) results for a relaxed structure of LaCe2Th4.

Geometry as POSCAR:
```
LaCe2Th4
1.0
3.537 0.000 0.333
1.753 3.072 0.333
-0.133 -0.077 20.374
La Ce Th
1 2 4
Cartesian
0.000 0.000 0.000
4.213 2.447 12.102
0.943 0.548 8.938
0.423 0.246 14.466
3.241 1.882 3.481
4.734 2.749 6.574
1.916 1.113 17.559
```

DFT formation energy (meV per atom): 68
Total magnetic moment (μB/f.u.): 0.00
Mass density (g/cm³): 10.098
Space group: No. 166

***

Record 2
DFT (PBE) results for a relaxed structure of La4CeTh2.

Geometry as POSCAR:
```
La4CeTh2
1.0
-0.799 7.652 0.096
-3.906 0.464 6.972
6.793 1.616 3.923
La Ce Th
8 2 4
Cartesian
1.864 6.980 8.913
1.800 3.805 7.487
3.903 3.325 4.679
0.288 5.926 3.505
3.596 6.780 4.918
0.224 2.751 2.078
-1.815 6.406 6.312
-1.508 2.952 6.074
-1.953 0.232 3.486
-2.352 4.058 3.534
0.000 0.000 0.000
1.444 1.040 5.447
2.997 4.634 2.010
3.397 0.808 1.962
```

DFT formation energy (meV per atom): 294
Total magnetic moment (μB/f.u.): 0.45
Mass density (g/cm³): 7.921
Space group: No. 12

***

Record 3
DFT (PBE) results for a relaxed structure of La2CeTh.

Geometry as POSCAR:
```
La2CeTh
1.0
3.584 0.000 0.000
1.792 3.104 0.000
1.792 1.035 11.811
Th La Ce
1 2 1
Cartesian
3.584 2.069 5.922
1.792 1.035 8.967
1.792 1.035 2.850
5.376 3.104 11.788
```

DFT formation energy (meV per atom): 86
Total magnetic moment (μB/f.u.): 0.00
Mass density (g/cm³): 8.216
Space group: No. 160
Polymorph energy (0 for the lowest one) (meV/atom): 62

***

Record 4
DFT (PBE) results for a relaxed structure of La2CeTh.

Geometry as POSCAR:
```
La2CeTh
1.0
3.501 0.000 0.000
1.751 3.032 0.000
1.751 1.011 12.447
La Ce Th
2 1 1
Cartesian
1.751 1.011 9.042
5.252 3.032 3.405
3.501 2.022 6.224
0.000 0.000 0.000
```

DFT formation energy (meV per atom): 206
Total magnetic moment (μB/f.u.): 0.00
Mass density (g/cm³): 8.167
Space group: No. 166
Polymorph energy (0 for the lowest one) (meV/atom): 182

***

Record 5
DFT (PBE) results for a relaxed structure of LaCeTh2.

Geometry as POSCAR:
```
LaCeTh2
1.0
3.419 -0.684 0.000
-1.089 3.312 0.000
0.000 0.000 12.081
Ce Th La
1 2 1
Cartesian
1.165 1.314 3.020
0.000 0.000 5.891
0.000 0.000 0.150
1.165 1.314 9.061
```

DFT formation energy (meV per atom): 135
Total magnetic moment (μB/f.u.): 0.21
Mass density (g/cm³): 9.657
Space group: No. 65
Polymorph energy (0 for the lowest one) (meV/atom): 79

***

Record 6
DFT (PBE) results for a relaxed structure of LaCeTh2.

Geometry as POSCAR:
```
LaCeTh2
1.0
-1.456 -2.139 -2.454
2.258 -1.337 2.414
-8.741 -0.276 8.002
Th La Ce
2 1 1
Cartesian
-5.583 -1.368 7.073
-2.379 -2.389 0.898
-3.403 -2.664 4.347
-0.033 -0.008 0.021
```

DFT formation energy (meV per atom): 56
Total magnetic moment (μB/f.u.): 0.00
Mass density (g/cm³): 9.597
Space group: No. 8
Polymorph energy (0 for the lowest one) (meV/atom): 0

***

Record 7
DFT (PBE) results for a relaxed structure of LaCeTh2.

Geometry as POSCAR:
```
LaCeTh2
1.0
4.216 0.000 0.000
0.000 4.216 0.000
0.000 0.000 7.202
Ce La Th
1 1 2
Cartesian
2.108 2.108 0.000
2.108 2.108 3.601
0.000 0.000 1.645
0.000 0.000 5.556
```

DFT formation energy (meV per atom): 146
Total magnetic moment (μB/f.u.): 0.00
Mass density (g/cm³): 9.638
Space group: No. 123
Polymorph energy (0 for the lowest one) (meV/atom): 91

***

Record 8
DFT (PBE) results for a relaxed structure of LaCe3Th2.

Geometry as POSCAR:
```
LaCe3Th2
1.0
3.494 0.000 0.000
0.000 3.494 0.000
0.000 0.000 14.821
Ce Th La
3 2 1
Cartesian
0.000 0.000 4.810
0.000 0.000 10.011
0.000 0.000 0.000
1.747 1.747 2.426
1.747 1.747 12.395
1.747 1.747 7.410
```

DFT formation energy (meV per atom): 37
Total magnetic moment (μB/f.u.): 0.00
Mass density (g/cm³): 9.394
Space group: No. 123

***

DOS at the Fermi energy, record by record: 15.453 13.696 7.832 6.713 9.336 6.545 8.051 14.241 states/eV/f.u.